13
Lattice="5.7049 0.0000 0.7956 0.0003 7.7596 -0.0023 -1.4099 -3.8829 10.0786" Properties=species:S:1:pos:R:3 comment="Nd8Y3Tm2 (PBE, relaxed)" final_energy_ev_per_atom=-4.913 e_form_mev_per_atom=201 space_group=C2/m density_kg_m3=6420 pbc="T T T"
Nd 1.7444 1.5880 8.3133
Nd -1.0335 3.8778 7.4027
Nd 4.7823 -0.0021 7.3666
Nd 1.7442 -1.5918 8.3152
Nd 2.5509 2.2887 2.5586
Nd -0.4870 3.8788 3.5054
Nd 5.3288 -0.0010 3.4692
Nd 2.5511 5.4685 2.5567
Tm 2.1235 3.8768 5.6385
Tm 2.1718 0.0000 5.2334
Y 2.8524 0.0000 0.3978
Y 4.2951 -1.6700 10.8733
Y 0.0002 5.5468 -0.0013